Record 1
{"formula": "KTlSnHg", "functional": "PBE-GGA", "state": "relaxed", "dos_ef_per_ev_cell": 1.172, "ef_ev_per_atom": -0.1125, "magnetic_moment_mub_per_fu": 0.0, "volume_a3_per_atom": 29.66, "lattice_angstrom": [[-3.4110, -1.6358, 4.0134], [2.0281, -2.3805, 4.5430], [-0.0982, 2.7017, 4.8073]], "species": ["Sn", "Hg", "K", "Tl"], "frac_coords": [[0.2500, 0.2500, 0.2500], [0.0000, 0.0000, 0.0000], [0.7500, 0.7500, 0.7500], [0.5000, 0.5000, 0.5000]]}

Record 2
{"formula": "K2Tl4SnHg3", "functional": "PBE-GGA", "state": "relaxed", "dos_ef_per_ev_cell": 4.425, "ef_ev_per_atom": -0.1055, "magnetic_moment_mub_per_fu": 0.0, "volume_a3_per_atom": 33.93, "lattice_angstrom": [[5.1222, 0.0000, 0.0000], [0.0000, 5.1222, 0.0000], [0.0000, 0.0000, 12.9324]], "species": ["Hg", "Hg", "Hg", "K", "K", "Tl", "Tl", "Tl", "Tl", "Sn"], "frac_coords": [[0.0000, 0.0000, 0.5000], [0.5000, 0.0000, 0.8636], [0.0000, 0.5000, 0.1364], [0.0000, 0.5000, 0.7449], [0.5000, 0.0000, 0.2551], [0.0000, 0.0000, 0.0000], [0.5000, 0.0000, 0.6337], [0.5000, 0.5000, 0.0000], [0.0000, 0.5000, 0.3663], [0.5000, 0.5000, 0.5000]]}

Record 3
{"formula": "KZnSnHg2", "functional": "PBE-GGA", "state": "relaxed", "dos_ef_per_ev_cell": 3.546, "ef_ev_per_atom": 0.0511, "magnetic_moment_mub_per_fu": 0.0, "volume_a3_per_atom": 36.92, "lattice_angstrom": [[5.9516, 0.0000, 0.0000], [0.0000, 5.9516, 0.0000], [0.0000, 0.0000, 5.2121]], "species": ["Hg", "Hg", "Zn", "Sn", "K"], "frac_coords": [[0.0000, 0.5000, 0.0000], [0.5000, 0.0000, 0.0000], [0.0000, 0.0000, 0.5000], [0.0000, 0.0000, 0.0000], [0.5000, 0.5000, 0.5000]]}

Record 4
{"formula": "KZnSnHg", "functional": "PBE-GGA", "state": "relaxed", "dos_ef_per_ev_cell": 2.901, "ef_ev_per_atom": -0.0010, "magnetic_moment_mub_per_fu": 0.0, "volume_a3_per_atom": 26.53, "lattice_angstrom": [[5.3143, 0.0000, 0.0000], [2.6571, 4.6023, 0.0000], [2.6571, 1.5341, 4.3391]], "species": ["K", "Sn", "Hg", "Zn"], "frac_coords": [[0.0000, 0.0000, 0.0000], [0.5000, 0.5000, 0.5000], [0.2500, 0.2500, 0.2500], [0.7500, 0.7500, 0.7500]]}

Record 5
{"formula": "KZnSnHg2", "functional": "PBE-GGA", "state": "relaxed", "dos_ef_per_ev_cell": 3.815, "ef_ev_per_atom": 0.0087, "magnetic_moment_mub_per_fu": 0.0, "volume_a3_per_atom": 31.36, "lattice_angstrom": [[5.4680, 0.0000, 0.0000], [0.0000, 5.4680, 0.0000], [0.0000, 0.0000, 5.2448]], "species": ["Hg", "Hg", "Zn", "K", "Sn"], "frac_coords": [[0.0000, 0.5000, 0.0000], [0.5000, 0.0000, 0.0000], [0.0000, 0.0000, 0.0000], [0.5000, 0.5000, 0.5000], [0.0000, 0.0000, 0.5000]]}

Record 6
{"formula": "K2ZnSnHg", "functional": "PBE-GGA", "state": "relaxed", "dos_ef_per_ev_cell": 2.243, "ef_ev_per_atom": -0.0002, "magnetic_moment_mub_per_fu": 0.0, "volume_a3_per_atom": 42.03, "lattice_angstrom": [[6.5622, 0.0000, 0.0000], [0.0000, 6.5622, 0.0000], [0.0000, 0.0000, 4.8798]], "species": ["Hg", "K", "K", "Sn", "Zn"], "frac_coords": [[0.5000, 0.5000, 0.5000], [0.5000, 0.0000, 0.0000], [0.0000, 0.5000, 0.0000], [0.0000, 0.0000, 0.5000], [0.0000, 0.0000, 0.0000]]}

Record 7
{"formula": "K2ZnSn4Hg3", "functional": "PBE-GGA", "state": "relaxed", "dos_ef_per_ev_cell": 4.746, "ef_ev_per_atom": -0.1270, "magnetic_moment_mub_per_fu": 0.0, "volume_a3_per_atom": 29.31, "lattice_angstrom": [[4.7749, 0.0000, 0.0000], [0.0000, 4.7749, 0.0000], [0.0000, 0.0000, 12.8566]], "species": ["K", "K", "Sn", "Sn", "Sn", "Sn", "Hg", "Hg", "Hg", "Zn"], "frac_coords": [[0.5000, 0.0000, 0.2569], [0.0000, 0.5000, 0.7431], [0.0000, 0.5000, 0.3740], [0.5000, 0.5000, 0.0000], [0.5000, 0.0000, 0.6260], [0.0000, 0.0000, 0.0000], [0.5000, 0.0000, 0.8479], [0.0000, 0.5000, 0.1521], [0.0000, 0.0000, 0.5000], [0.5000, 0.5000, 0.5000]]}

Record 8
{"formula": "KSrHg", "functional": "PBE-GGA", "state": "relaxed", "dos_ef_per_ev_cell": 3.351, "ef_ev_per_atom": -0.1603, "magnetic_moment_mub_per_fu": 0.0, "volume_a3_per_atom": 47.99, "lattice_angstrom": [[4.5089, 0.0000, 0.0000], [-2.2544, 3.9048, 0.0000], [0.0000, 0.0000, 8.1765]], "species": ["Sr", "K", "Hg"], "frac_coords": [[0.6667, 0.3333, 0.7406], [0.3333, 0.6667, 0.2756], [0.0000, 0.0000, 0.9837]]}

Record 9
{"formula": "K2SrHg6", "functional": "PBE-GGA", "state": "relaxed", "dos_ef_per_ev_cell": 4.650, "ef_ev_per_atom": -0.3191, "magnetic_moment_mub_per_fu": 0.0, "volume_a3_per_atom": 31.48, "lattice_angstrom": [[-1.4156, 3.3143, 1.4203], [0.6661, 3.8493, -8.3185], [-7.7190, -4.3458, 2.4474]], "species": ["K", "K", "Hg", "Hg", "Hg", "Hg", "Hg", "Hg", "Sr"], "frac_coords": [[0.0000, 0.3333, 0.6667], [0.0000, 0.6667, 0.3333], [0.5000, 0.0000, 0.6681], [0.5000, 0.6681, 0.0000], [0.5000, 0.3319, 0.3319], [0.5000, 0.3319, 0.0000], [0.5000, 0.6681, 0.6681], [0.5000, 0.0000, 0.3319], [0.0000, 0.0000, 0.0000]]}

Record 10
{"formula": "K2SrHg", "functional": "PBE-GGA", "state": "relaxed", "dos_ef_per_ev_cell": 3.293, "ef_ev_per_atom": -0.0364, "magnetic_moment_mub_per_fu": 0.0, "volume_a3_per_atom": 45.30, "lattice_angstrom": [[-3.8899, 3.2100, -5.6953], [2.0504, -0.8764, -7.2732], [-1.2103, -4.1710, 6.2458]], "species": ["Sr", "Hg", "K", "K"], "frac_coords": [[0.2500, 0.7500, 0.5000], [0.7500, 0.2500, 0.5000], [0.0000, 0.0000, 0.0000], [0.5000, 0.5000, 0.0000]]}

Record 11
{"formula": "K2SrHg8", "functional": "PBE-GGA", "state": "relaxed", "dos_ef_per_ev_cell": 4.845, "ef_ev_per_atom": -0.2507, "magnetic_moment_mub_per_fu": 0.0, "volume_a3_per_atom": 30.79, "lattice_angstrom": [[5.7651, 0.2561, -1.6893], [-0.5054, 6.1343, -2.9454], [-0.6817, 0.4207, 9.5138]], "species": ["Hg", "Hg", "Hg", "Hg", "Hg", "Hg", "Hg", "Hg", "K", "K", "Sr"], "frac_coords": [[0.7106, 0.2106, 0.4212], [0.0660, 0.9047, 0.2493], [0.1833, 0.3446, 0.2493], [0.9340, 0.0953, 0.7507], [0.7492, 0.4489, 0.0000], [0.2894, 0.7894, 0.5788], [0.8167, 0.6554, 0.7507], [0.2508, 0.5511, 0.0000], [0.6861, 0.6861, 0.3722], [0.3139, 0.3139, 0.6278], [0.5000, 0.0000, 0.0000]]}

Record 12
{"formula": "K2SrHg", "functional": "PBE-GGA", "state": "relaxed", "dos_ef_per_ev_cell": 3.067, "ef_ev_per_atom": -0.0249, "magnetic_moment_mub_per_fu": 0.0, "volume_a3_per_atom": 51.62, "lattice_angstrom": [[4.3683, 0.0000, 0.0000], [2.1841, 3.7830, 0.0000], [2.1841, 1.2610, 12.4943]], "species": ["Sr", "K", "K", "Hg"], "frac_coords": [[0.5003, 0.5003, 0.4991], [0.0672, 0.0672, 0.7984], [0.2660, 0.2660, 0.2019], [0.6665, 0.6665, 0.0006]]}